Record 1
The following is a PBE calculation of LiTbThAu after structural relaxation, from Alexandria via LeMat-Bulk.

Geometry as CIF:
```
data_LiTbThAu
_chemical_formula_sum 'Li1 Tb1 Th1 Au1'
_space_group_name_H-M_alt 'P 1'
_space_group_IT_number 1
_cell_length_a 5.195
_cell_length_b 5.195
_cell_length_c 5.195
_cell_angle_alpha 60.00
_cell_angle_beta 60.00
_cell_angle_gamma 60.00
loop_
_space_group_symop_operation_xyz
'x,y,z'
loop_
_atom_site_label
_atom_site_fract_x
_atom_site_fract_y
_atom_site_fract_z
Th1 0.250 0.250 0.250
Tb1 0.750 0.750 0.750
Au1 0.000 0.000 0.000
Li1 0.500 0.500 0.500
```

Results
Calculated density in g cm⁻³: 9.96
Calculated total energy in eV per atom: -4.5314
Size of the total moment in μB/f.u.: 0.49

Record 2
The following is a PBE calculation of KPbSeBr after structural relaxation, from Alexandria via LeMat-Bulk.

Geometry as CIF:
```
data_KPbSeBr
_chemical_formula_sum 'K1 Pb1 Se1 Br1'
_space_group_name_H-M_alt 'P 1'
_space_group_IT_number 1
_cell_length_a 4.456
_cell_length_b 4.456
_cell_length_c 8.308
_cell_angle_alpha 74.44
_cell_angle_beta 74.44
_cell_angle_gamma 60.00
loop_
_space_group_symop_operation_xyz
'x,y,z'
loop_
_atom_site_label
_atom_site_fract_x
_atom_site_fract_y
_atom_site_fract_z
K1 0.501 0.501 0.496
Pb1 0.990 0.990 0.031
Br1 0.749 0.749 0.753
Se1 0.260 0.260 0.221
```

Results
Calculated density in g cm⁻³: 4.95
Calculated total energy in eV per atom: -3.5777
Formation energy (no corrections) in meV per atom: -1087
Size of the total moment in μB/f.u.: 0.00

Record 3
The following is a PBE calculation of KMn2Re after structural relaxation, from Alexandria via LeMat-Bulk.

Geometry as CIF:
```
data_KMn2Re
_chemical_formula_sum 'K1 Mn2 Re1'
_space_group_name_H-M_alt 'P 1'
_space_group_IT_number 1
_cell_length_a 7.702
_cell_length_b 5.103
_cell_length_c 2.683
_cell_angle_alpha 89.98
_cell_angle_beta 69.62
_cell_angle_gamma 131.56
loop_
_space_group_symop_operation_xyz
'x,y,z'
loop_
_atom_site_label
_atom_site_fract_x
_atom_site_fract_y
_atom_site_fract_z
K1 0.500 0.500 0.000
Re1 0.000 0.500 0.500
Mn1 0.500 0.000 0.500
Mn2 0.000 0.000 0.000
```

Results
Offset from the most stable computed form in eV/f.u.: 2.131
Calculated density in g cm⁻³: 7.97
Calculated total energy in eV per atom: -6.7685
Size of the total moment in μB/f.u.: 6.76

Record 4
The following is a PBE calculation of MgScTiSn after structural relaxation, from Alexandria via LeMat-Bulk.

Geometry as CIF:
```
data_MgScTiSn
_chemical_formula_sum 'Mg1 Sc1 Ti1 Sn1'
_space_group_name_H-M_alt 'P 1'
_space_group_IT_number 1
_cell_length_a 4.865
_cell_length_b 4.865
_cell_length_c 4.865
_cell_angle_alpha 60.00
_cell_angle_beta 60.00
_cell_angle_gamma 60.00
loop_
_space_group_symop_operation_xyz
'x,y,z'
loop_
_atom_site_label
_atom_site_fract_x
_atom_site_fract_y
_atom_site_fract_z
Sn1 0.250 0.250 0.250
Mg1 0.750 0.750 0.750
Ti1 0.000 0.000 0.000
Sc1 0.500 0.500 0.500
```

Results
Calculated density in g cm⁻³: 4.81
Calculated total energy in eV per atom: -5.1360
Size of the total moment in μB/f.u.: 0.79

Record 5
The following is a PBE calculation of SmBe4Au8 after structural relaxation, from Alexandria via LeMat-Bulk.

Geometry as CIF:
```
data_SmBe4Au8
_chemical_formula_sum 'Sm1 Be4 Au8'
_space_group_name_H-M_alt 'P 1'
_space_group_IT_number 1
_cell_length_a 5.254
_cell_length_b 6.844
_cell_length_c 6.844
_cell_angle_alpha 81.53
_cell_angle_beta 67.43
_cell_angle_gamma 67.43
loop_
_space_group_symop_operation_xyz
'x,y,z'
loop_
_atom_site_label
_atom_site_fract_x
_atom_site_fract_y
_atom_site_fract_z
Au1 0.331 0.669 0.669
Au2 0.669 0.331 0.331
Au3 0.278 0.222 0.222
Au4 0.000 0.669 0.331
Au5 0.500 0.222 0.778
Au6 0.500 0.778 0.222
Au7 0.722 0.778 0.778
Au8 0.000 0.331 0.669
Be1 0.500 0.000 0.500
Be2 0.000 0.000 0.500
Be3 0.000 0.500 0.000
Be4 0.500 0.500 0.000
Sm1 0.000 0.000 0.000
```

Results
Offset from the most stable computed form in eV/f.u.: 0.000
Calculated density in g cm⁻³: 13.94
Calculated total energy in eV per atom: -3.7939
Size of the total moment in μB/f.u.: 0.00

Record 6
The following is a PBE calculation of KPrTe4 after structural relaxation, from Alexandria via LeMat-Bulk.

Geometry as CIF:
```
data_KPrTe4
_chemical_formula_sum 'K2 Pr2 Te8'
_space_group_name_H-M_alt 'P 1'
_space_group_IT_number 1
_cell_length_a 6.968
_cell_length_b 6.968
_cell_length_c 9.022
_cell_angle_alpha 90.00
_cell_angle_beta 90.00
_cell_angle_gamma 90.00
loop_
_space_group_symop_operation_xyz
'x,y,z'
loop_
_atom_site_label
_atom_site_fract_x
_atom_site_fract_y
_atom_site_fract_z
Te1 0.144 0.356 0.285
Te2 0.644 0.856 0.715
Te3 0.856 0.644 0.285
Te4 0.356 0.856 0.285
Te5 0.856 0.356 0.715
Te6 0.144 0.644 0.715
Te7 0.644 0.144 0.285
Te8 0.356 0.144 0.715
K1 0.000 0.000 0.000
K2 0.500 0.500 0.000
Pr1 0.000 0.000 0.500
Pr2 0.500 0.500 0.500
```

Results
Calculated density in g cm⁻³: 5.23
Calculated total energy in eV per atom: -4.0338
Formation energy (no corrections) in meV per atom: -960
Size of the total moment in μB/f.u.: 0.00

Record 7
The following is a PBE calculation of La4HgBi after structural relaxation, from Alexandria via LeMat-Bulk.

Geometry as CIF:
```
data_La4HgBi
_chemical_formula_sum 'La8 Hg2 Bi2'
_space_group_name_H-M_alt 'P 1'
_space_group_IT_number 1
_cell_length_a 5.937
_cell_length_b 5.937
_cell_length_c 11.819
_cell_angle_alpha 104.50
_cell_angle_beta 104.53
_cell_angle_gamma 90.00
loop_
_space_group_symop_operation_xyz
'x,y,z'
loop_
_atom_site_label
_atom_site_fract_x
_atom_site_fract_y
_atom_site_fract_z
La1 0.175 0.675 0.850
La2 0.825 0.325 0.150
La3 0.078 0.078 0.656
La4 0.922 0.922 0.344
La5 0.325 0.825 0.150
La6 0.578 0.578 0.656
La7 0.675 0.175 0.850
La8 0.422 0.422 0.344
Bi1 0.750 0.750 0.000
Bi2 0.250 0.250 0.000
Hg1 0.500 0.000 0.500
Hg2 0.000 0.500 0.500
```

Results
Calculated density in g cm⁻³: 8.23
Calculated total energy in eV per atom: -4.4289
Size of the total moment in μB/f.u.: 0.00

Record 8
The following is a PBE calculation of ZrPb2Se after structural relaxation, from Alexandria via LeMat-Bulk.

Geometry as CIF:
```
data_ZrPb2Se
_chemical_formula_sum 'Zr1 Pb2 Se1'
_space_group_name_H-M_alt 'P 1'
_space_group_IT_number 1
_cell_length_a 6.061
_cell_length_b 6.061
_cell_length_c 6.061
_cell_angle_alpha 137.25
_cell_angle_beta 137.25
_cell_angle_gamma 62.05
loop_
_space_group_symop_operation_xyz
'x,y,z'
loop_
_atom_site_label
_atom_site_fract_x
_atom_site_fract_y
_atom_site_fract_z
Zr1 0.750 0.250 0.500
Pb1 0.250 0.750 0.500
Pb2 0.000 0.000 0.000
Se1 0.500 0.500 0.000
```

Results
Calculated density in g cm⁻³: 9.57
Calculated total energy in eV per atom: -4.9042
Formation energy (no corrections) in meV per atom: -42
Size of the total moment in μB/f.u.: 0.00

Record 9
The following is a PBE calculation of BeRuBr2 after structural relaxation, from Alexandria via LeMat-Bulk.

Geometry as CIF:
```
data_BeRuBr2
_chemical_formula_sum 'Be2 Ru2 Br4'
_space_group_name_H-M_alt 'P 1'
_space_group_IT_number 1
_cell_length_a 5.687
_cell_length_b 5.687
_cell_length_c 6.494
_cell_angle_alpha 64.03
_cell_angle_beta 64.03
_cell_angle_gamma 90.00
loop_
_space_group_symop_operation_xyz
'x,y,z'
loop_
_atom_site_label
_atom_site_fract_x
_atom_site_fract_y
_atom_site_fract_z
Br1 0.573 0.125 0.250
Br2 0.177 0.625 0.250
Br3 0.875 0.823 0.750
Br4 0.375 0.427 0.750
Be1 0.500 0.500 0.000
Be2 0.250 0.750 0.500
Ru1 0.750 0.250 0.500
Ru2 0.000 0.000 0.000
```

Results
Offset from the most stable computed form in eV/f.u.: 2.170
Calculated density in g cm⁻³: 5.44
Calculated total energy in eV per atom: -3.5468
Formation energy (no corrections) in meV per atom: 540
Size of the total moment in μB/f.u.: 2.00

Record 10
The following is a PBE calculation of La2SmPb3 after structural relaxation, from Alexandria via LeMat-Bulk.

Geometry as CIF:
```
data_La2SmPb3
_chemical_formula_sum 'La4 Sm2 Pb6'
_space_group_name_H-M_alt 'P 1'
_space_group_IT_number 1
_cell_length_a 6.579
_cell_length_b 7.637
_cell_length_c 9.006
_cell_angle_alpha 102.21
_cell_angle_beta 111.42
_cell_angle_gamma 90.00
loop_
_space_group_symop_operation_xyz
'x,y,z'
loop_
_atom_site_label
_atom_site_fract_x
_atom_site_fract_y
_atom_site_fract_z
Pb1 0.508 0.250 0.000
Pb2 0.162 0.582 0.326
Pb3 0.492 0.750 0.000
Pb4 0.165 0.082 0.326
Pb5 0.838 0.418 0.674
Pb6 0.835 0.918 0.674
La1 0.334 0.417 0.666
La2 0.666 0.583 0.334
La3 0.669 0.083 0.334
La4 0.331 0.917 0.666
Sm1 0.993 0.750 0.000
Sm2 0.007 0.250 0.000
```

Results
Offset from the most stable computed form in eV/f.u.: 0.360
Calculated density in g cm⁻³: 8.50
Calculated total energy in eV per atom: -4.7495
Size of the total moment in μB/f.u.: 0.00

Record 11
The following is a PBE calculation of ErGeRh after structural relaxation, from Alexandria via LeMat-Bulk.

Geometry as CIF:
```
data_ErGeRh
_chemical_formula_sum 'Er1 Ge1 Rh1'
_space_group_name_H-M_alt 'P 1'
_space_group_IT_number 1
_cell_length_a 3.553
_cell_length_b 4.329
_cell_length_c 4.329
_cell_angle_alpha 120.00
_cell_angle_beta 90.00
_cell_angle_gamma 90.00
loop_
_space_group_symop_operation_xyz
'x,y,z'
loop_
_atom_site_label
_atom_site_fract_x
_atom_site_fract_y
_atom_site_fract_z
Ge1 0.167 0.667 0.333
Rh1 0.167 0.000 0.000
Er1 0.667 0.333 0.667
```

Results
Calculated density in g cm⁻³: 9.87
Calculated total energy in eV per atom: -6.3989
Size of the total moment in μB/f.u.: 0.00

Record 12
The following is a PBE calculation of LaCePr2 after structural relaxation, from Alexandria via LeMat-Bulk.

Geometry as CIF:
```
data_LaCePr2
_chemical_formula_sum 'La1 Ce1 Pr2'
_space_group_name_H-M_alt 'P 1'
_space_group_IT_number 1
_cell_length_a 5.864
_cell_length_b 5.864
_cell_length_c 5.864
_cell_angle_alpha 60.00
_cell_angle_beta 60.00
_cell_angle_gamma 60.00
loop_
_space_group_symop_operation_xyz
'x,y,z'
loop_
_atom_site_label
_atom_site_fract_x
_atom_site_fract_y
_atom_site_fract_z
Pr1 0.750 0.750 0.750
Pr2 0.250 0.250 0.250
Ce1 0.000 0.000 0.000
La1 0.500 0.500 0.500
```

Results
Offset from the most stable computed form in eV/f.u.: 0.575
Calculated density in g cm⁻³: 6.53
Calculated total energy in eV per atom: -4.8996
Size of the total moment in μB/f.u.: 2.68

The highest calculated density belongs to which entry? SmBe4Au8

The lowest calculated total energy belongs to which entry? KMn2Re

What is the formula in the twelfth record? LaCePr2